1.
This record from the Alexandria database describes a relaxed structure of BeCo2Rh. The functional is GGA-PBE.

Cell lengths 4.2557, 4.2557, 4.2557 Å; angles 130.65, 130.65, 72.36 degrees
Closest atoms and distances in Å follow each position.
Element x y z (fractional)
Co 0.0000 0.0000 0.0000  4 Co 2.47, 4 Be 2.47, 4 Rh 2.51
Co 0.2500 0.7500 0.5000  4 Co 2.47, 4 Rh 2.47, 4 Be 2.51
Rh 0.5000 0.5000 0.0000  4 Be 2.47, 8 Co 2.47-2.51
Be 0.7500 0.2500 0.5000  8 Co 2.47-2.51, 4 Rh 2.47

Values from the calculation:
Total DFT energy (no corrections) in eV/cell: -25.49
Magnetization in Bohr magnetons per cell: 0.00
ΔE_f in eV/atom: -0.051

---

2.
This record from the Alexandria database describes a relaxed structure of BeCo2Rh. The functional is GGA-PBE.

Cell lengths 2.6483, 2.6483, 6.1656 Å; angles 90.00, 90.00, 90.00 degrees
Closest atoms and distances in Å follow each position.
Element x y z (fractional)
Co 0.0000 0.0000 0.9585  4 Be 2.27
Co 0.0000 0.0000 0.5415  4 Be 2.27
Rh 0.5000 0.5000 0.2500  8 Co 2.60, 4 Rh 2.65
Be 0.5000 0.5000 0.7500  8 Co 2.27

Values from the calculation:
Total DFT energy (no corrections) in eV/cell: -25.63
Magnetization in Bohr magnetons per cell: 3.16
ΔE_f in eV/atom: -0.085

---

3.
This record from the Alexandria database describes a relaxed structure of BeCo3Rh. The functional is GGA-PBE.

Cell lengths 3.8678, 3.8678, 3.8678 Å; angles 90.00, 90.00, 90.00 degrees
Closest atoms and distances in Å follow each position.
Element x y z (fractional)
Co 0.0000 0.5000 0.0000  2 Be 1.93
Co 0.0000 0.0000 0.5000  2 Be 1.93
Co 0.5000 0.0000 0.0000  2 Be 1.93
Rh 0.5000 0.5000 0.5000  12 Co 2.73
Be 0.0000 0.0000 0.0000  6 Co 1.93

Values from the calculation:
Total DFT energy (no corrections) in eV/cell: -30.14
Magnetization in Bohr magnetons per cell: 5.10
ΔE_f in eV/atom: 0.452

---

4.
This record from the Alexandria database describes a relaxed structure of Be3CoRh. The functional is GGA-PBE.

Cell lengths 3.6684, 4.6525, 3.6586 Å; angles 90.01, 60.08, 113.42 degrees
Closest atoms and distances in Å follow each position.
Element x y z (fractional)
Be 0.3197 0.3880 0.8068  4 Be 2.19-2.23, 3 Rh 2.35
Be 0.6794 0.9277 0.6266  2 Be 2.23-2.48, 3 Co 2.25-2.26, 3 Rh 2.29
Be 0.0795 0.5279 0.4269  3 Be 2.19, 3 Co 2.29
Co 0.8865 0.7408 0.0231  6 Be 2.25-2.29, 1 Rh 2.48
Rh 0.4888 0.1405 0.2220  7 Be 2.29-2.53, 1 Co 2.48

Values from the calculation:
Total DFT energy (no corrections) in eV/cell: -27.23
Magnetization in Bohr magnetons per cell: 0.91
ΔE_f in eV/atom: -0.318

---

5.
This record from the Alexandria database describes a relaxed structure of BeCoRh2. The functional is GGA-PBE.

Cell lengths 2.7840, 2.7840, 6.1215 Å; angles 90.00, 90.00, 90.00 degrees
Closest atoms and distances in Å follow each position.
Element x y z (fractional)
Co 0.5000 0.5000 0.7500  8 Rh 2.58, 4 Co 2.78
Rh 0.0000 0.0000 0.0232  4 Be 2.41, 4 Co 2.58
Rh 0.0000 0.0000 0.4768  4 Be 2.41, 4 Co 2.58
Be 0.5000 0.5000 0.2500  8 Rh 2.41

Values from the calculation:
Total DFT energy (no corrections) in eV/cell: -26.57
Magnetization in Bohr magnetons per cell: 2.96
ΔE_f in eV/atom: -0.260

---

6.
This record from the Alexandria database describes a relaxed structure of BeCo2Rh. The functional is GGA-PBE.

Cell lengths 3.7933, 2.5738, 4.7807 Å; angles 72.98, 90.00, 90.00 degrees
Closest atoms and distances in Å follow each position.
Element x y z (fractional)
Co 0.0000 0.9364 0.9774  2 Co 2.30-2.50, 2 Be 2.31, 2 Rh 2.56
Co 0.0000 0.5636 0.5226  2 Co 2.30-2.50, 2 Be 2.31, 2 Rh 2.56
Rh 0.5000 0.2500 0.2500  2 Be 2.36, 4 Co 2.56, 2 Rh 2.57
Be 0.5000 0.7500 0.7500  4 Co 2.31, 2 Rh 2.36, 2 Be 2.57

Values from the calculation:
Total DFT energy (no corrections) in eV/cell: -25.49
Magnetization in Bohr magnetons per cell: 3.42
ΔE_f in eV/atom: -0.050